# 1
# Y8ErTh4 (PBE, optimized geometry)
data_Y8ErTh4
_chemical_formula_sum 'Y24 Er3 Th12'
_space_group_name_H-M_alt 'R -3 m'
_space_group_IT_number 166
_space_group_name_Hall '-R 3 2"'
_cell_length_a 7.3896
_cell_length_b 7.3896
_cell_length_c 26.9997
_cell_angle_alpha 90.00
_cell_angle_beta 90.00
_cell_angle_gamma 120.00
loop_
_atom_site_label
_atom_site_fract_x
_atom_site_fract_y
_atom_site_fract_z
Y1 0.0000 0.0000 0.2193
Y2 0.0363 0.5182 0.7678
Er1 0.0000 0.0000 0.5000
Th1 0.0000 0.0000 0.0000
Th2 0.0000 0.5000 0.0000
# **ΔH_f (0 K)**: 0.225 eV per atom

***

# 2
# KRb2I (PBE, optimized geometry)
data_KRb2I
_chemical_formula_sum 'K4 Rb8 I4'
_space_group_name_H-M_alt 'F m -3 m'
_space_group_IT_number 225
_space_group_name_Hall '-F 4 2 3'
_cell_length_a 10.065
_cell_length_b 10.065
_cell_length_c 10.065
_cell_angle_alpha 90.00
_cell_angle_beta 90.00
_cell_angle_gamma 90.00
loop_
_atom_site_label
_atom_site_fract_x
_atom_site_fract_y
_atom_site_fract_z
K1 0.000 0.000 0.000
Rb1 0.250 0.250 0.250
I1 0.000 0.000 0.500
# **Polymorph energy (0 for the lowest one)**: 212 meV per atom
# **Raw formation energy**: -484 meV/atom

***

# 3
# CsNp2S3 (PBE, optimized geometry)
data_CsNp2S3
_chemical_formula_sum 'Cs2 Np4 S6'
_space_group_name_H-M_alt 'P m c 21'
_space_group_IT_number 26
_cell_length_a 3.559
_cell_length_b 11.520
_cell_length_c 7.467
_cell_angle_alpha 90.00
_cell_angle_beta 90.00
_cell_angle_gamma 90.00
loop_
_space_group_symop_operation_xyz
'x,y,z'
'-x,-y,z+1/2'
'-x,y,z'
'x,-y,z+1/2'
loop_
_atom_site_label
_atom_site_fract_x
_atom_site_fract_y
_atom_site_fract_z
Cs1 0.000 0.117 0.000
Np1 0.000 0.311 0.516
Np2 0.500 0.461 0.534
S1 0.000 0.406 0.843
S2 0.500 0.143 0.577
S3 0.500 0.333 0.227
# **Raw formation energy**: -1063 meV/atom

***

# 4
# Pu2ThHg3 (PBE, optimized geometry)
data_Pu2ThHg3
_chemical_formula_sum 'Pu2 Th1 Hg3'
_space_group_name_H-M_alt 'P 4/m m m'
_space_group_IT_number 123
_space_group_name_Hall '-P 4 2'
_cell_length_a 3.738
_cell_length_b 3.738
_cell_length_c 11.674
_cell_angle_alpha 90.00
_cell_angle_beta 90.00
_cell_angle_gamma 90.00
loop_
_atom_site_label
_atom_site_fract_x
_atom_site_fract_y
_atom_site_fract_z
Pu1 0.000 0.000 0.166
Th1 0.000 0.000 0.500
Hg1 0.500 0.500 0.000
Hg2 0.500 0.500 0.330
# **ΔH_f (0 K)**: -0.128 eV per atom

***

# 5
# ThSi3Tc2 (PBE, optimized geometry)
data_ThSi3Tc2
_chemical_formula_sum 'Th4 Si12 Tc8'
_space_group_name_H-M_alt 'C m c m'
_space_group_IT_number 63
_space_group_name_Hall '-C 2c 2'
_cell_length_a 9.441
_cell_length_b 7.482
_cell_length_c 5.805
_cell_angle_alpha 90.00
_cell_angle_beta 90.00
_cell_angle_gamma 90.00
loop_
_atom_site_label
_atom_site_fract_x
_atom_site_fract_y
_atom_site_fract_z
Th1 0.000 0.162 0.250
Si1 0.000 0.436 0.750
Si2 0.175 0.211 0.750
Tc1 0.204 0.500 0.000
# **Raw formation energy**: -572 meV/atom

***

# 6
# NbVMo (PBE, optimized geometry)
data_NbVMo
_chemical_formula_sum 'Nb2 V2 Mo2'
_space_group_name_H-M_alt 'I 4 m m'
_space_group_IT_number 107
_space_group_name_Hall 'I 4 -2'
_cell_length_a 3.149
_cell_length_b 3.149
_cell_length_c 9.576
_cell_angle_alpha 90.00
_cell_angle_beta 90.00
_cell_angle_gamma 90.00
loop_
_atom_site_label
_atom_site_fract_x
_atom_site_fract_y
_atom_site_fract_z
Nb1 0.000 0.000 0.000
V1 0.000 0.000 0.326
Mo1 0.000 0.000 0.673
# **Polymorph energy (0 for the lowest one)**: 0 meV per atom
# **ΔH_f (0 K)**: -0.073 eV per atom

***

# 7
# Ba2HAu (PBE, optimized geometry)
data_Ba2HAu
_chemical_formula_sum 'Ba6 H3 Au3'
_space_group_name_H-M_alt 'R -3 m'
_space_group_IT_number 166
_space_group_name_Hall '-R 3 2"'
_cell_length_a 4.5061
_cell_length_b 4.5061
_cell_length_c 21.9277
_cell_angle_alpha 90.00
_cell_angle_beta 90.00
_cell_angle_gamma 120.00
loop_
_atom_site_label
_atom_site_fract_x
_atom_site_fract_y
_atom_site_fract_z
Ba1 0.0000 0.0000 0.2428
H1 0.0000 0.0000 0.5000
Au1 0.0000 0.0000 0.0000
# **Polymorph energy (0 for the lowest one)**: 34 meV per atom

***

# 8
# Na3YTi (PBE, optimized geometry)
data_Na3YTi
_chemical_formula_sum 'Na3 Y1 Ti1'
_space_group_name_H-M_alt 'P m -3 m'
_space_group_IT_number 221
_space_group_name_Hall '-P 4 2 3'
_cell_length_a 5.845
_cell_length_b 5.845
_cell_length_c 5.845
_cell_angle_alpha 90.00
_cell_angle_beta 90.00
_cell_angle_gamma 90.00
loop_
_atom_site_label
_atom_site_fract_x
_atom_site_fract_y
_atom_site_fract_z
Na1 0.000 0.000 0.500
Y1 0.000 0.000 0.000
Ti1 0.500 0.500 0.500
# **Polymorph energy (0 for the lowest one)**: 513 meV per atom
# **ΔH_f (0 K)**: 1.636 eV per atom